Entry 1:
Here is crystalline LaGeTe3Au at its relaxed geometry from the Open Quantum Materials Database. Energies are from GGA-PBE.

Calculated values
SG = Cmcm, No. 63
calculated total energy = -51.9 eV/cell

The structure in extended XYZ format:
```
12
Lattice="2.1201 -7.3840 0.0000 2.1201 7.3840 0.0000 0.0000 0.0000 11.5184" Properties=species:S:1:pos:R:3 pbc="T T T"
La 0.0000 0.0000 0.0000
La 0.0000 0.0000 5.7592
Ge 2.1201 4.3229 8.6388
Ge 2.1201 -4.3229 2.8796
Te 2.1201 5.8844 2.8796
Te 2.1201 2.3081 0.8390
Te 2.1201 2.3081 4.9202
Te 2.1201 -2.3081 6.5982
Te 2.1201 -2.3081 10.6794
Te 2.1201 -5.8844 8.6388
Au 2.1201 0.3653 2.8796
Au 2.1201 -0.3653 8.6388
```



Entry 2:
Here is crystalline LaTmGe2Au2 at its relaxed geometry from the Open Quantum Materials Database. Energies are from GGA-PBE.

Calculated values
SG = P3m1, No. 156
calculated total energy = -30.3 eV/cell

The structure in extended XYZ format:
```
6
Lattice="4.5022 0.0000 0.0000 -2.2511 3.8991 0.0000 0.0000 0.0000 7.6066" Properties=species:S:1:pos:R:3 pbc="T T T"
La 0.0000 0.0000 0.0000
Tm 0.0000 0.0000 3.7605
Ge 0.0000 2.5994 1.6801
Ge 2.2511 1.2997 5.3101
Au 0.0000 2.5994 5.6466
Au 2.2511 1.2997 2.3364
```



Entry 3:
Here is crystalline LaZnGeAu2 at its relaxed geometry from the Open Quantum Materials Database. Energies are from GGA-PBE.

Calculated values
SG = I-4m2, No. 119
calculated total energy = -20.2 eV/cell

The structure in extended XYZ format:
```
5
Lattice="-2.1770 2.1770 5.6746 2.1770 -2.1770 5.6746 2.1770 2.1770 -5.6746" Properties=species:S:1:pos:R:3 pbc="T T T"
La 0.0000 0.0000 0.0000
Zn 0.0000 2.1770 2.8373
Ge 2.1770 0.0000 2.8373
Au 0.0000 0.0000 4.3059
Au 0.0000 0.0000 7.0432
```



Entry 4:
Here is crystalline LiGe2Au at its relaxed geometry from the Open Quantum Materials Database. Energies are from GGA-PBE.

Calculated values
SG = F-43m, No. 216
calculated total energy = -14.8 eV/cell

The structure in extended XYZ format:
```
4
Lattice="0.0000 3.2511 3.2511 3.2511 0.0000 3.2511 3.2511 3.2511 0.0000" Properties=species:S:1:pos:R:3 pbc="T T T"
Li 0.0000 0.0000 0.0000
Ge 3.2511 3.2511 3.2511
Ge 4.8766 4.8766 4.8766
Au 1.6255 1.6255 1.6255
```



Entry 5:
Here is crystalline LiGeAu at its relaxed geometry from the Open Quantum Materials Database. Energies are from GGA-PBE.

Calculated values
SG = P-62m, No. 189
calculated total energy = -32.8 eV/cell

The structure in extended XYZ format:
```
9
Lattice="7.4711 0.0000 0.0000 -3.7356 6.4702 0.0000 0.0000 0.0000 3.1126" Properties=species:S:1:pos:R:3 pbc="T T T"
Li -2.3533 4.0760 0.0000
Li 1.3823 2.3941 0.0000
Li 4.7066 0.0000 0.0000
Ge -1.1205 1.9408 1.5563
Ge 2.2411 0.0000 1.5563
Ge 2.6150 4.5293 1.5563
Au 0.0000 0.0000 0.0000
Au 0.0000 4.3134 1.5563
Au 3.7356 2.1567 1.5563
```



Entry 6:
Here is crystalline LiGeAu at its relaxed geometry from the Open Quantum Materials Database. Energies are from GGA-PBE.

Calculated values
SG = Cm, No. 8
calculated total energy = -21.9 eV/cell

The structure in extended XYZ format:
```
6
Lattice="4.3773 -3.2321 0.0000 4.3773 3.2321 0.0000 -2.1845 0.0000 3.8047" Properties=species:S:1:pos:R:3 pbc="T T T"
Li 0.0000 0.0000 0.0000
Li 4.8899 0.0000 0.2899
Ge 2.4164 1.2719 1.3911
Ge 2.4164 -1.2719 1.3911
Au 4.5796 1.7237 2.6501
Au 4.5796 -1.7237 2.6501
```



Entry 7:
Here is crystalline LiGeAu at its relaxed geometry from the Open Quantum Materials Database. Energies are from GGA-PBE.

Calculated values
SG = F-43m, No. 216
calculated total energy = -10.7 eV/cell

The structure in extended XYZ format:
```
3
Lattice="0.0000 3.0340 3.0340 3.0340 0.0000 3.0340 3.0340 3.0340 0.0000" Properties=species:S:1:pos:R:3 pbc="T T T"
Li 0.0000 0.0000 0.0000
Ge 3.0340 3.0340 3.0340
Au 4.5510 4.5510 4.5510
```



Entry 8:
Here is crystalline Li5Ge2Au5 at its relaxed geometry from the Open Quantum Materials Database. Energies are from GGA-PBE.

Calculated values
SG = C2/m, No. 12
calculated total energy = -40.6 eV/cell

The structure in extended XYZ format:
```
12
Lattice="3.8599 -2.2319 0.0000 3.8599 2.2319 0.0000 -2.5852 0.0000 11.7644" Properties=species:S:1:pos:R:3 pbc="T T T"
Li 0.0000 0.0000 0.0000
Li -0.0134 0.0000 6.9086
Li -0.0198 0.0000 9.7679
Li 5.1543 0.0000 1.9965
Li 5.1479 0.0000 4.8559
Ge 2.5829 0.0000 3.3370
Ge 2.5516 0.0000 8.4275
Au 0.0069 0.0000 3.4268
Au 2.5670 0.0000 0.7157
Au 2.5673 0.0000 5.8822
Au 2.5675 0.0000 11.0487
Au 5.1276 0.0000 8.3376
```



Copy entry 8 word for word.
Here is crystalline Li5Ge2Au5 at its relaxed geometry from the Open Quantum Materials Database. Energies are from GGA-PBE.

Calculated values
SG = C2/m, No. 12
calculated total energy = -40.6 eV/cell

The structure in extended XYZ format:
```
12
Lattice="3.8599 -2.2319 0.0000 3.8599 2.2319 0.0000 -2.5852 0.0000 11.7644" Properties=species:S:1:pos:R:3 pbc="T T T"
Li 0.0000 0.0000 0.0000
Li -0.0134 0.0000 6.9086
Li -0.0198 0.0000 9.7679
Li 5.1543 0.0000 1.9965
Li 5.1479 0.0000 4.8559
Ge 2.5829 0.0000 3.3370
Ge 2.5516 0.0000 8.4275
Au 0.0069 0.0000 3.4268
Au 2.5670 0.0000 0.7157
Au 2.5673 0.0000 5.8822
Au 2.5675 0.0000 11.0487
Au 5.1276 0.0000 8.3376
```